1.
10
Lattice="6.385 -1.901 0.000 6.385 1.901 0.000 -4.712 0.000 8.165" Properties=species:S:1:pos:R:3 comment="ZrU4S5, relaxed, DFT PBE-GGA" m_tot_mub_per_atom=0.886 dos_ef_per_ev_atom=1.562 pbc="T T T"
Zr 0.000 0.000 0.000
U -1.236 0.000 6.574
U 2.246 0.000 4.887
U 5.812 0.000 3.278
U 9.294 0.000 1.591
S -2.356 0.000 4.082
S 1.142 0.000 2.373
S 4.724 0.000 0.811
S 3.334 0.000 7.354
S 6.916 0.000 5.792

=====

2.
16
Lattice="6.607 0.000 0.000 0.000 7.742 0.000 -2.251 0.000 6.165" Properties=species:S:1:pos:R:3 comment="ZrU3S4, relaxed, DFT PBE-GGA" m_tot_mub_per_atom=0.283 dos_ef_per_ev_atom=2.089 pbc="T T T"
Zr -0.563 0.966 1.541
Zr -1.688 6.776 4.624
U -1.688 2.905 4.624
U -0.563 4.837 1.541
U 1.616 0.932 4.624
U 2.741 2.906 1.541
U 1.616 4.835 4.624
U 2.741 6.809 1.541
S -0.656 0.940 6.156
S 0.469 6.801 3.074
S 0.504 2.860 3.061
S -0.621 4.882 6.144
S 4.978 2.860 0.021
S 3.853 4.882 3.104
S 3.887 0.940 3.091
S 5.012 6.801 0.009

=====

3.
8
Lattice="0.000 5.049 5.049 5.049 0.000 5.049 5.049 5.049 0.000" Properties=species:S:1:pos:R:3 comment="ZrUS6, relaxed, DFT PBE-GGA" m_tot_mub_per_atom=0.000 dos_ef_per_ev_atom=0.661 pbc="T T T"
Zr 0.000 0.000 0.000
U 5.049 5.049 5.049
S 5.049 5.049 2.532
S 5.049 2.532 5.049
S 7.566 5.049 5.049
S 2.532 5.049 5.049
S 5.049 7.566 5.049
S 5.049 5.049 7.566

=====

4.
9
Lattice="8.662 -1.952 0.000 8.662 1.952 0.000 -2.167 0.000 7.734" Properties=species:S:1:pos:R:3 comment="ZrU2S6, relaxed, DFT PBE-GGA" e_above_lowest_polymorph_mev_per_atom=0 m_tot_mub_per_atom=0.445 dos_ef_per_ev_atom=1.125 pbc="T T T"
Zr 0.000 0.000 0.000
U 4.368 0.000 5.219
U 10.791 0.000 2.515
S 2.475 0.000 0.717
S 1.828 0.000 4.321
S 6.903 0.000 6.032
S 8.255 0.000 1.702
S 13.330 0.000 3.412
S 12.683 0.000 7.017

=====

5.
4
Lattice="1.601 0.924 9.711 -1.601 0.924 9.711 0.000 -1.849 9.711" Properties=species:S:1:pos:R:3 comment="Zr2US, relaxed, DFT PBE-GGA" m_tot_mub_per_atom=0.637 dos_ef_per_ev_atom=1.596 pbc="T T T"
Zr 0.000 0.000 2.998
Zr 0.000 0.000 26.134
U 0.000 0.000 0.000
S 0.000 0.000 14.566

=====

6.
6
Lattice="-2.738 2.738 4.970 2.738 -2.738 4.970 2.738 2.738 -4.970" Properties=species:S:1:pos:R:3 comment="VS2, relaxed, DFT PBE-GGA" m_tot_mub_per_atom=0.333 dos_ef_per_ev_atom=0.836 pbc="T T T"
V 0.000 0.000 0.000
V 0.000 2.738 2.485
S 4.107 1.222 -1.243
S 1.222 1.369 1.243
S -1.369 1.516 3.728
S 1.516 1.369 6.213

=====

The calculation returns the following raw formation energy values, one per record and in order: -1404 -1390 -754 -1401 -211 -607 meV per atom.